Entry 1:
First-principles (PBE) data for a geometry-optimized SrScHg2Mo structure, as listed in Alexandria.

Geometry as POSCAR:
```
SrScHg2Mo
1.0
-0.9533 4.9769 -2.1282
-2.3167 1.2856 4.0442
4.7289 1.8172 2.1313
Mo Hg Sc Sr
1 2 1 1
Direct
0.0000 0.5000 0.0000
0.5000 0.0000 0.0000
0.0000 0.0000 0.5000
0.0000 0.0000 0.0000
0.5000 0.5000 0.5000
```

The formation energy is 522 meV per atom. The space group is P4/mmm.


Entry 2:
First-principles (PBE) data for a geometry-optimized ScVHg2Mo structure, as listed in Alexandria.

Geometry as POSCAR:
```
ScVHg2Mo
1.0
5.2841 0.0000 0.0000
0.0000 4.6194 0.0000
0.0000 0.0000 5.2841
Hg V Mo Sc
2 1 1 1
Direct
0.5000 0.0000 0.0000
0.0000 0.0000 0.5000
0.5000 0.5000 0.5000
0.0000 0.5000 0.0000
0.0000 0.0000 0.0000
```

The formation energy is 1450 meV per atom. The space group is P4/mmm.


> What is the formula in the second record?

ScVHg2Mo